[1]
Entry from Alexandria via LeMat-Bulk: Sr2GaAgHg6 after structural relaxation (PBE).

Cell lengths 5.816, 10.123, 7.483 Å; angles 49.89, 70.75, 98.06 degrees
Fractional positions:
Hg (0.851, 0.856, 0.815)
Hg (0.744, 0.255, 0.022)
Hg (0.733, 0.584, 0.505)
Hg (0.149, 0.144, 0.185)
Hg (0.267, 0.416, 0.495)
Ga (0.000, 0.000, 0.000)
Sr (0.724, 0.242, 0.494)
Hg (0.256, 0.745, 0.978)
Sr (0.276, 0.758, 0.506)
Ag (0.500, 0.500, 0.000)

Calculated values
Uncorrected energy = -1.34 eV/atom
Symmetry = No. 2

=====

[2]
Entry from Alexandria via LeMat-Bulk: BaAg2Rh after structural relaxation (PBE).

Cell lengths 4.290, 4.290, 4.844 Å; angles 90.00, 90.00, 90.00 degrees
Fractional positions:
Ba (0.500, 0.500, 0.500)
Ag (0.000, 0.500, 0.000)
Ag (0.500, 0.000, 0.000)
Rh (0.000, 0.000, 0.500)

Calculated values
Uncorrected energy = -3.61 eV/atom
Symmetry = No. 123

=====

[3]
Entry from Alexandria via LeMat-Bulk: Sr2Tl6Cd after structural relaxation (PBE).

Cell lengths 6.629, 7.026, 7.026 Å; angles 59.98, 90.08, 90.08 degrees
Fractional positions:
Tl (0.323, 0.356, 0.823)
Sr (0.838, 0.667, 0.667)
Cd (0.000, 0.000, 0.000)
Tl (0.677, 0.644, 0.177)
Tl (0.323, 0.823, 0.356)
Sr (0.162, 0.333, 0.333)
Tl (0.680, 0.177, 0.177)
Tl (0.320, 0.823, 0.823)
Tl (0.677, 0.177, 0.644)

Calculated values
Uncorrected energy = -2.28 eV/atom
Symmetry = No. 12

=====

| no. | V (Å³ per cell) |
| --- | --- |
| 1 | 278 |
| 2 | 89 |
| 3 | 283 |